Entry 1:
An optimized crystal structure of MoS2. Source: Alexandria, functional PBEsol.

Calculated values
Calculated volume = 18.44 Å³/atom
Total moment = 0.00 Bohr magnetons per cell
Calculated total energy = -7.8107 eV/atom
Uncorrected formation energy = -0.97 eV/atom

Cell: 3.1370 3.1370 19.4730 Å, 90.00 90.00 120.00°
With the nearest neighbours (Å) after each atom.
Space group P-6m2 (No. 187)
Inequivalent atoms, fractional coordinates:
Mo 0.0000 0.0000 0.0000 (multiplicity 1)  6 S 2.39
Mo 0.6667 0.3333 0.3195 (multiplicity 2)  6 S 2.39
S 0.0000 0.0000 0.2394 (multiplicity 2)  3 Mo 2.39
S 0.0000 0.0000 0.3994 (multiplicity 2)  3 Mo 2.39
S 0.6667 0.3333 0.0800 (multiplicity 2)  3 Mo 2.39


Entry 2:
An optimized crystal structure of LiRe2SnN. Source: Alexandria, functional PBEsol.

Calculated values
Calculated volume = 21.46 Å³/atom
Total moment = 5.64 Bohr magnetons per cell
DOS(E_F) = 1.28 states/eV per atom
Calculated total energy = -5.5581 eV/atom
Uncorrected formation energy = 2.73 eV/atom

Cell: 5.0983 5.0983 4.1284 Å, 90.00 90.00 90.00°
With the nearest neighbours (Å) after each atom.
Space group P4/mmm (No. 123)
Inequivalent atoms, fractional coordinates:
Li 0.0000 0.0000 0.0000 (multiplicity 1)  8 Re 3.28, 4 N 3.61
Re 0.0000 0.5000 0.5000 (multiplicity 2)  2 Sn 2.55
Sn 0.5000 0.5000 0.5000 (multiplicity 1)  2 N 2.06
N 0.5000 0.5000 0.0000 (multiplicity 1)  2 Sn 2.06


Entry 3:
An optimized crystal structure of Li7IN2. Source: Alexandria, functional PBEsol.

Calculated values
Calculated volume = 13.50 Å³/atom
Total moment = 0.02 Bohr magnetons per cell
DOS(E_F) = 0.00 states/eV per atom
Calculated total energy = -3.8626 eV/atom
Uncorrected formation energy = -0.60 eV/atom

Cell: 7.2547 7.2547 17.7724 Å, 90.00 90.00 120.00°
With the nearest neighbours (Å) after each atom.
Space group R3m (No. 160, hexagonal axes)
Inequivalent atoms, fractional coordinates:
Li 0.0000 0.0000 0.0000 (multiplicity 3)  4 N 2.00-2.13, 4 Li 2.05-2.12
Li 0.0000 0.0000 0.1155 (multiplicity 3)  1 Li 2.05, 3 N 2.25
Li 0.0076 0.5038 0.7217 (multiplicity 9)  2 N 1.99
Li 0.0898 0.5449 0.4860 (multiplicity 9)  2 N 1.95-1.96
Li 0.1904 0.3807 0.6030 (multiplicity 9)  2 N 2.00-2.03, 1 Li 2.12
Li 0.2179 0.4358 0.3684 (multiplicity 9)  2 N 2.00
I 0.0000 0.0000 0.2733 (multiplicity 3)  4 Li 2.80-2.96
I 0.0000 0.0000 0.5119 (multiplicity 3)  6 Li 2.89-3.07
N 0.0000 0.0000 0.8874 (multiplicity 3)  7 Li 1.95-2.00
N 0.1797 0.3593 0.7171 (multiplicity 9)  7 Li 1.96-2.13


Entry 4:
An optimized crystal structure of LaV3O9. Source: Alexandria, functional PBEsol.

Calculated values
Calculated volume = 13.12 Å³/atom
Total moment = 0.00 Bohr magnetons per cell
DOS(E_F) = 0.00 states/eV per atom
Calculated total energy = -8.8793 eV/atom
Uncorrected formation energy = -2.61 eV/atom

Cell: 4.9456 9.4550 7.4099 Å, 90.00 99.99 90.00°
With the nearest neighbours (Å) after each atom.
Space group P2_1/m (No. 11)
Inequivalent atoms, fractional coordinates:
La 0.0779 0.2500 0.0013 (multiplicity 2)  8 O 2.43-2.64
V 0.2644 0.7500 0.6531 (multiplicity 2)  4 O 1.64-1.80
V 0.4395 0.5723 0.3008 (multiplicity 4)  2 O 1.64-1.65
O 0.0683 0.2500 0.3487 (multiplicity 2)  1 V 1.64
O 0.2166 0.0106 0.1439 (multiplicity 4)  1 V 1.65
O 0.2775 0.7500 0.2785 (multiplicity 2)  2 V 1.86
O 0.2861 0.1120 0.7854 (multiplicity 4)  1 V 1.64
O 0.3863 0.5913 0.5609 (multiplicity 4)  3 V 1.80-2.00
O 0.3864 0.7500 0.8781 (multiplicity 2)  1 V 1.67